*i*
PmYErAg: optimized geometry, GGA-PBE.

Geometry as POSCAR:
```
PmYErAg
1.0
3.612 0.000 0.000
0.000 3.612 0.000
0.000 0.000 8.744
Pm Y Er Ag
1 1 1 1
Direct
0.000 0.000 0.075
0.500 0.500 0.780
0.500 0.500 0.364
0.000 0.000 0.565
```

Results
For the size of the total moment, the calculation gives 0.00 Bohr magnetons per cell. The space-group type is P4mm. As for the crystal system: tetragonal. For the volume, the calculation gives 28.52 Å³ per atom.

*ii*
PmYErAg: optimized geometry, GGA-PBE.

Geometry as POSCAR:
```
PmYErAg
1.0
-4.243 0.011 -3.348
-1.347 -4.501 -2.672
-4.497 -2.688 1.328
Y Pm Ag Er
1 1 1 1
Direct
0.500 0.500 0.500
0.750 0.750 0.750
0.250 0.250 0.250
0.000 0.000 0.000
```

Results
For the size of the total moment, the calculation gives 0.00 Bohr magnetons per cell. The space-group type is F-43m. As for the crystal system: cubic. For the volume, the calculation gives 27.91 Å³ per atom.

Energy above the most stable structure, in eV/atom: *i* 0.000; *ii* 0.238

*i*
PrEr3Ag2: optimized geometry, GGA-PBE.

Geometry as POSCAR:
```
PrEr3Ag2
1.0
-1.872 -2.166 2.207
-1.184 -1.882 -2.851
9.740 -7.498 0.905
Pr Er Ag
1 3 2
Direct
0.500 0.500 0.500
0.000 0.000 0.000
0.000 0.000 0.709
0.000 0.000 0.291
0.500 0.500 0.853
0.500 0.500 0.147
```

Results
For the size of the total moment, the calculation gives 0.00 Bohr magnetons per cell. The space-group type is P4/mmm. As for the crystal system: tetragonal. For the volume, the calculation gives 26.85 Å³ per atom.

*ii*
PrEr3Ag2: optimized geometry, GGA-PBE.

Geometry as POSCAR:
```
PrEr3Ag2
1.0
-0.514 3.708 -3.762
1.145 -8.073 -4.371
-7.419 2.690 3.666
Pr Er Ag
2 6 4
Direct
0.863 0.727 0.920
0.137 0.273 0.080
0.308 0.616 0.611
0.938 0.875 0.601
0.619 0.237 0.711
0.381 0.763 0.289
0.062 0.125 0.399
0.692 0.384 0.389
0.510 0.019 0.853
0.490 0.981 0.147
0.773 0.546 0.158
0.227 0.454 0.842
```

Results
For the size of the total moment, the calculation gives 0.00 Bohr magnetons per cell. The space-group type is C2/m. As for the crystal system: monoclinic. For the volume, the calculation gives 27.30 Å³ per atom.

Energy above the most stable structure, in eV/atom: *i* 0.000; *ii* 0.078

*i*
PrSmErAg: optimized geometry, GGA-PBE.

Geometry as POSCAR:
```
PrSmErAg
1.0
5.472 0.000 0.000
2.736 4.739 0.000
2.736 1.580 4.468
Pr Ag Sm Er
1 1 1 1
Direct
0.000 0.000 0.000
0.250 0.250 0.250
0.500 0.500 0.500
0.750 0.750 0.750
```

Results
For the size of the total moment, the calculation gives 0.00 Bohr magnetons per cell. The space-group type is F-43m. As for the crystal system: cubic. For the volume, the calculation gives 28.96 Å³ per atom.

*ii*
PrSmErAg: optimized geometry, GGA-PBE.

Geometry as POSCAR:
```
PrSmErAg
1.0
3.656 0.000 0.000
0.000 3.656 0.000
0.000 0.000 8.823
Pr Sm Er Ag
1 1 1 1
Direct
0.000 0.000 0.078
0.500 0.500 0.781
0.500 0.500 0.367
0.000 0.000 0.559
```

Results
For the size of the total moment, the calculation gives 0.00 Bohr magnetons per cell. The space-group type is P4mm. As for the crystal system: tetragonal. For the volume, the calculation gives 29.48 Å³ per atom.

Energy above the most stable structure, in eV/atom: *i* 0.184; *ii* 0.000

*i*
PrErTmAg: optimized geometry, GGA-PBE.

Geometry as POSCAR:
```
PrErTmAg
1.0
-1.698 2.507 4.490
-4.499 -1.680 2.503
0.340 -2.501 4.792
Pr Tm Ag Er
1 1 1 1
Direct
0.250 0.250 0.250
0.000 0.000 0.000
0.500 0.500 0.500
0.750 0.750 0.750
```

Results
For the size of the total moment, the calculation gives 0.00 Bohr magnetons per cell. The space-group type is F-43m. As for the crystal system: cubic. For the volume, the calculation gives 28.08 Å³ per atom.

*ii*
PrErTmAg: optimized geometry, GGA-PBE.

Geometry as POSCAR:
```
PrErTmAg
1.0
-2.716 1.987 -1.269
-2.295 -2.671 0.729
-1.318 3.320 8.021
Pr Er Tm Ag
1 1 1 1
Direct
0.000 0.000 0.072
0.500 0.500 0.776
0.500 0.500 0.367
0.000 0.000 0.569
```

Results
For the size of the total moment, the calculation gives 0.00 Bohr magnetons per cell. The space-group type is P4mm. As for the crystal system: tetragonal. For the volume, the calculation gives 28.39 Å³ per atom.

Energy above the most stable structure, in eV/atom: *i* 0.197; *ii* 0.000

*i*
PrErZnAg: optimized geometry, GGA-PBE.

Geometry as POSCAR:
```
PrErZnAg
1.0
-1.175 -2.377 -4.459
-0.123 -5.181 -0.224
-4.535 -2.467 -0.508
Pr Zn Ag Er
1 1 1 1
Direct
0.000 0.000 0.000
0.750 0.750 0.750
0.250 0.250 0.250
0.500 0.500 0.500
```

Results
For the size of the total moment, the calculation gives 0.00 Bohr magnetons per cell. The space-group type is F-43m. As for the crystal system: cubic. For the volume, the calculation gives 24.68 Å³ per atom.

*ii*
PrErZnAg: optimized geometry, GGA-PBE.

Geometry as POSCAR:
```
PrErZnAg
1.0
-1.844 0.486 3.099
-0.029 -3.598 0.547
6.370 0.512 3.709
Pr Er Zn Ag
1 1 1 1
Direct
0.000 0.000 0.846
0.000 0.000 0.362
0.500 0.500 0.585
0.500 0.500 0.135
```

Results
For the size of the total moment, the calculation gives 0.00 Bohr magnetons per cell. The space-group type is P4mm. As for the crystal system: tetragonal. For the volume, the calculation gives 24.46 Å³ per atom.

Energy above the most stable structure, in eV/atom: *i* 0.023; *ii* 0.000

*i*
ErPuAg2: optimized geometry, GGA-PBE.

Geometry as POSCAR:
```
ErPuAg2
1.0
-1.198 -0.730 3.255
-3.085 -1.072 -1.376
2.732 -7.109 -0.590
Er Ag Pu
1 2 1
Direct
0.500 0.500 0.000
0.000 0.000 0.770
0.000 0.000 0.230
0.500 0.500 0.500
```

Results
For the size of the total moment, the calculation gives 5.78 Bohr magnetons per cell. The space-group type is P4/mmm. As for the crystal system: tetragonal. For the volume, the calculation gives 23.99 Å³ per atom.

*ii*
ErPuAg2: optimized geometry, GGA-PBE.

Geometry as POSCAR:
```
ErPuAg2
1.0
3.329 0.000 0.000
1.665 2.883 0.000
1.665 0.961 10.040
Er Ag Pu
1 2 1
Direct
0.000 0.000 0.000
0.253 0.253 0.240
0.747 0.747 0.760
0.500 0.500 0.500
```

Results
For the size of the total moment, the calculation gives 6.09 Bohr magnetons per cell. The space-group type is R-3m. As for the crystal system: trigonal. For the volume, the calculation gives 24.09 Å³ per atom.

*iii*
ErPuAg2: optimized geometry, GGA-PBE.

Geometry as POSCAR:
```
ErPuAg2
1.0
5.160 0.000 0.000
2.580 4.469 0.000
2.580 1.490 4.213
Er Ag Pu
1 2 1
Direct
0.500 0.500 0.500
0.250 0.250 0.250
0.750 0.750 0.750
0.000 0.000 0.000
```

Results
For the size of the total moment, the calculation gives 5.68 Bohr magnetons per cell. The space-group type is Fm-3m. As for the crystal system: cubic. For the volume, the calculation gives 24.29 Å³ per atom.

Energy above the most stable structure, in eV/atom: *i* 0.000; *ii* 0.207; *iii* 0.046

*i*
Er2PuAg: optimized geometry, GGA-PBE.

Geometry as POSCAR:
```
Er2PuAg
1.0
-1.054 3.363 0.307
-0.524 0.323 -5.333
-5.097 -1.635 0.402
Er Ag Pu
2 1 1
Direct
0.000 0.000 0.500
0.000 0.500 0.000
0.500 0.500 0.500
0.500 0.000 0.000
```

Results
For the size of the total moment, the calculation gives 6.77 Bohr magnetons per cell. The space-group type is P4/mmm. As for the crystal system: tetragonal. For the volume, the calculation gives 25.49 Å³ per atom.

*ii*
Er2PuAg: optimized geometry, GGA-PBE.

Geometry as POSCAR:
```
Er2PuAg
1.0
3.501 0.000 0.000
0.000 3.501 0.000
0.000 0.000 8.589
Er Ag Pu
2 1 1
Direct
0.000 0.000 0.782
0.000 0.000 0.218
0.500 0.500 0.000
0.500 0.500 0.500
```

Results
For the size of the total moment, the calculation gives 6.53 Bohr magnetons per cell. The space-group type is P4/mmm. As for the crystal system: tetragonal. For the volume, the calculation gives 26.32 Å³ per atom.

Energy above the most stable structure, in eV/atom: *i* 0.082; *ii* 0.000